# AcV2HgO6, relaxed, DFT PBE with a Hubbard U
data_AcV2HgO6
_symmetry_space_group_name_H-M 'C 1 2/c 1'
_symmetry_Int_Tables_number 15
_cell_length_a 11.4031
_cell_length_b 10.9225
_cell_length_c 6.1070
_cell_angle_alpha 90.00
_cell_angle_beta 101.78
_cell_angle_gamma 90.00
loop_
_symmetry_equiv_pos_as_xyz
'x,y,z'
'-x,-y,-z'
'-x,y,-z+1/2'
'x,-y,z+1/2'
'x+1/2,y+1/2,z'
'-x+1/2,-y+1/2,-z'
'-x+1/2,y+1/2,-z+1/2'
'x+1/2,-y+1/2,z+1/2'
loop_
_atom_site_label
_atom_site_type_symbol
_atom_site_fract_x
_atom_site_fract_y
_atom_site_fract_z
_atom_site_occupancy
Ac1 Ac 0.0000 0.1302 0.2500 1
V1 V 0.2210 0.4257 0.3057 1
Hg1 Hg 0.0000 0.3142 0.7500 1
O1 O 0.1218 0.0552 0.6239 1
O2 O 0.1614 0.2798 0.2673 1
O3 O 0.1694 0.4941 0.5422 1
# mass density = 5.6 Mg/m³
# electronic total energy = -6.96 eV per atom